[1]
{
  "formula": "BeAgRhBr2",
  "functional": "PBEsol",
  "state": "optimized geometry",
  "crystal_system": "tetragonal",
  "energy_ev_per_atom": -3.3714,
  "raw_formation_energy_ev_per_fu": 2.33,
  "total_magnetization_mub_per_cell": 0.002,
  "cell": [[4.2176, 0.0000, 0.0000], [0.0000, 4.6779, 0.0000], [0.0000, 0.0000, 4.6779]],
  "species": ["Be", "Rh", "Br", "Br", "Ag"],
  "frac_coords": [[0.0000, 0.0000, 0.0000], [0.5000, 0.0000, 0.0000], [0.0000, 0.0000, 0.5000], [0.0000, 0.5000, 0.0000], [0.5000, 0.5000, 0.5000]]
}

[2]
{
  "formula": "BeAgSeBr2",
  "functional": "PBEsol",
  "state": "optimized geometry",
  "crystal_system": "tetragonal",
  "energy_ev_per_atom": -2.9122,
  "raw_formation_energy_ev_per_fu": 0.34,
  "total_magnetization_mub_per_cell": 0.001,
  "cell": [[4.5517, 0.0000, 0.0000], [0.0000, 4.8199, 0.0000], [0.0000, 0.0000, 4.8199]],
  "species": ["Be", "Se", "Br", "Br", "Ag"],
  "frac_coords": [[0.0000, 0.0000, 0.0000], [0.5000, 0.0000, 0.0000], [0.0000, 0.0000, 0.5000], [0.0000, 0.5000, 0.0000], [0.5000, 0.5000, 0.5000]]
}

[3]
{
  "formula": "BeAgSe2Br",
  "functional": "PBEsol",
  "state": "optimized geometry",
  "crystal_system": "tetragonal",
  "energy_ev_per_atom": -2.4821,
  "raw_formation_energy_ev_per_fu": 4.47,
  "total_magnetization_mub_per_cell": 0.001,
  "cell": [[5.0007, 0.0000, 0.0000], [0.0000, 5.0007, 0.0000], [0.0000, 0.0000, 5.0148]],
  "species": ["Be", "Se", "Se", "Br", "Ag"],
  "frac_coords": [[0.5000, 0.5000, 0.5000], [0.0000, 0.5000, 0.0000], [0.5000, 0.0000, 0.0000], [0.0000, 0.0000, 0.5000], [0.0000, 0.0000, 0.0000]]
}

[4]
{
  "formula": "BeZn2AgBr",
  "functional": "PBEsol",
  "state": "optimized geometry",
  "crystal_system": "tetragonal",
  "energy_ev_per_atom": -1.2054,
  "raw_formation_energy_ev_per_fu": 6.32,
  "total_magnetization_mub_per_cell": 0.000,
  "cell": [[4.9406, 0.0000, 0.0000], [0.0000, 5.0801, 0.0000], [0.0000, 0.0000, 5.0801]],
  "species": ["Be", "Zn", "Zn", "Br", "Ag"],
  "frac_coords": [[0.5000, 0.5000, 0.5000], [0.0000, 0.0000, 0.5000], [0.0000, 0.5000, 0.0000], [0.0000, 0.0000, 0.0000], [0.5000, 0.0000, 0.0000]]
}

[5]
{
  "formula": "ZrBeAgBr2",
  "functional": "PBEsol",
  "state": "optimized geometry",
  "crystal_system": "tetragonal",
  "energy_ev_per_atom": -3.5998,
  "raw_formation_energy_ev_per_fu": 2.14,
  "total_magnetization_mub_per_cell": 1.766,
  "cell": [[4.5508, 0.0000, 0.0000], [0.0000, 4.5508, 0.0000], [0.0000, 0.0000, 4.8329]],
  "species": ["Be", "Br", "Br", "Zr", "Ag"],
  "frac_coords": [[0.0000, 0.0000, 0.0000], [0.0000, 0.5000, 0.0000], [0.5000, 0.0000, 0.0000], [0.5000, 0.5000, 0.5000], [0.0000, 0.0000, 0.5000]]
}

[6]
{
  "formula": "BeAgC2I",
  "functional": "PBEsol",
  "state": "optimized geometry",
  "crystal_system": "tetragonal",
  "energy_ev_per_atom": -2.8404,
  "raw_formation_energy_ev_per_fu": 14.16,
  "total_magnetization_mub_per_cell": 0.002,
  "cell": [[-3.7909, 1.7822, -0.5731], [-1.8452, -3.7754, 0.4651], [-0.3413, 0.7213, 4.5008]],
  "species": ["I", "Be", "C", "C", "Ag"],
  "frac_coords": [[0.0000, 0.0000, 0.0000], [0.0000, 0.0000, 0.5000], [0.0000, 0.5000, 0.0000], [0.5000, 0.0000, 0.0000], [0.5000, 0.5000, 0.5000]]
}

[7]
{
  "formula": "CaBeAg2",
  "functional": "PBEsol",
  "state": "optimized geometry",
  "crystal_system": "tetragonal",
  "energy_ev_per_atom": -2.9658,
  "e_form_ev_per_atom": 0.223,
  "total_magnetization_mub_per_cell": 0.000,
  "cell": [[3.9288, 0.0000, 0.0000], [0.0000, 4.3230, 0.0000], [0.0000, 0.0000, 4.3230]],
  "species": ["Be", "Ca", "Ag", "Ag"],
  "frac_coords": [[0.5000, 0.5000, 0.5000], [0.5000, 0.0000, 0.0000], [0.0000, 0.0000, 0.5000], [0.0000, 0.5000, 0.0000]]
}

[8]
{
  "formula": "CaBeAg2",
  "functional": "PBEsol",
  "state": "optimized geometry",
  "crystal_system": "orthorhombic",
  "energy_ev_per_atom": -3.1321,
  "e_form_ev_per_atom": 0.057,
  "total_magnetization_mub_per_cell": 0.000,
  "cell": [[-1.8307, -2.6457, 0.0533], [2.3676, -1.6751, -1.8264], [2.9302, -1.9156, 5.5552]],
  "species": ["Be", "Ca", "Ag", "Ag"],
  "frac_coords": [[0.0000, 0.0000, 0.4217], [0.5000, 0.5000, 0.7429], [0.0000, 0.0000, 0.0443], [0.5000, 0.5000, 0.2911]]
}